# GGA-PBE ZnNiTe2N, optimized geometry
# - relative energy among the computed polymorphs (eV/f.u.) = 3.21
# - formation energy from raw total energies (eV per atom) = 1.065
# - calculated volume (Å³/atom) = 20.8
# - total magnetization (μB per atom) = 0.17
data_ZnNiTe2N
_chemical_formula_sum 'Zn1 Ni1 Te2 N1'
_cell_length_a 5.441
_cell_length_b 5.441
_cell_length_c 3.517
_cell_angle_alpha 90.00
_cell_angle_beta 90.00
_cell_angle_gamma 90.00
_symmetry_space_group_name_H-M 'P 4/m m m'
_symmetry_Int_Tables_number 123
_symmetry_space_group_name_Hall '-P 4 2'
loop_
_atom_site_label
_atom_site_fract_x
_atom_site_fract_y
_atom_site_fract_z
Zn1 0.000 0.000 0.000
Ni1 0.500 0.500 0.500
Te1 0.000 0.500 0.000
N1 0.000 0.000 0.500